Arrangement i

# Sr2CrCd2 PBE-GGA relaxed
data_Sr2CrCd2
_chemical_formula_sum 'Sr4 Cr2 Cd4'
_space_group_name_H-M_alt 'P 4/m b m'
_space_group_IT_number 127
_space_group_name_Hall '-P 4 2ab'
_cell_length_a 8.8723
_cell_length_b 8.8723
_cell_length_c 3.9514
_cell_angle_alpha 90.00
_cell_angle_beta 90.00
_cell_angle_gamma 90.00
loop_
_atom_site_label
_atom_site_type_symbol
_atom_site_fract_x
_atom_site_fract_y
_atom_site_fract_z
Sr1 Sr 0.1657 0.3343 0.0000
Cr1 Cr 0.0000 0.0000 0.0000
Cd1 Cd 0.1317 0.6317 0.5000
# - DOS(E_F): 22.54 states/eV/cell
# - ρ: 4827 kg/m³



Arrangement ii

# Sr2CrCd2 PBE-GGA relaxed
data_Sr2CrCd2
_chemical_formula_sum 'Sr4 Cr2 Cd4'
_space_group_name_H-M_alt 'I 4/m m m'
_space_group_IT_number 139
_space_group_name_Hall '-I 4 2'
_cell_length_a 4.1640
_cell_length_b 4.1640
_cell_length_c 19.6434
_cell_angle_alpha 90.00
_cell_angle_beta 90.00
_cell_angle_gamma 90.00
loop_
_atom_site_label
_atom_site_type_symbol
_atom_site_fract_x
_atom_site_fract_y
_atom_site_fract_z
Sr1 Sr 0.0000 0.0000 0.1012
Cr1 Cr 0.0000 0.0000 0.5000
Cd1 Cd 0.0000 0.5000 0.2500
# - DOS(E_F): 8.32 states/eV/cell
# - ρ: 4408 kg/m³



Which structure is the most stable? The one labeled arrangement ii.



Arrangement i

# TaCrCd3 PBE-GGA relaxed
data_TaCrCd3
_chemical_formula_sum 'Ta1 Cr1 Cd3'
_space_group_name_H-M_alt 'P m -3 m'
_space_group_IT_number 221
_space_group_name_Hall '-P 4 2 3'
_cell_length_a 5.3347
_cell_length_b 5.3347
_cell_length_c 5.3347
_cell_angle_alpha 90.00
_cell_angle_beta 90.00
_cell_angle_gamma 90.00
loop_
_atom_site_label
_atom_site_type_symbol
_atom_site_fract_x
_atom_site_fract_y
_atom_site_fract_z
Ta1 Ta 0.0000 0.0000 0.0000
Cr1 Cr 0.5000 0.5000 0.5000
Cd1 Cd 0.0000 0.0000 0.5000
# - DOS(E_F): 5.04 states/eV/cell
# - ρ: 6236 kg/m³



Arrangement ii

# TaCrCd3 PBE-GGA relaxed
data_TaCrCd3
_chemical_formula_sum 'Ta1 Cr1 Cd3'
_space_group_name_H-M_alt 'P m -3 m'
_space_group_IT_number 221
_space_group_name_Hall '-P 4 2 3'
_cell_length_a 4.8578
_cell_length_b 4.8578
_cell_length_c 4.8578
_cell_angle_alpha 90.00
_cell_angle_beta 90.00
_cell_angle_gamma 90.00
loop_
_atom_site_label
_atom_site_type_symbol
_atom_site_fract_x
_atom_site_fract_y
_atom_site_fract_z
Ta1 Ta 0.0000 0.0000 0.0000
Cr1 Cr 0.5000 0.5000 0.5000
Cd1 Cd 0.0000 0.5000 0.5000
# - DOS(E_F): 8.50 states/eV/cell
# - ρ: 8259 kg/m³



Which structure is the most stable? The one labeled arrangement ii.



Arrangement i

# TaCrCd PBE-GGA relaxed
data_TaCrCd
_chemical_formula_sum 'Ta1 Cr1 Cd1'
_space_group_name_H-M_alt 'P 3 m 1'
_space_group_IT_number 156
_space_group_name_Hall 'P 3 -2"'
_cell_length_a 2.9454
_cell_length_b 2.9454
_cell_length_c 7.1730
_cell_angle_alpha 90.00
_cell_angle_beta 90.00
_cell_angle_gamma 120.00
loop_
_atom_site_label
_atom_site_type_symbol
_atom_site_fract_x
_atom_site_fract_y
_atom_site_fract_z
Ta1 Ta 0.0000 0.0000 0.0000
Cr1 Cr 0.3333 0.6667 0.7011
Cd1 Cd 0.6667 0.3333 0.3642
# - DOS(E_F): 2.10 states/eV/cell
# - ρ: 10642 kg/m³



Arrangement ii

# TaCrCd PBE-GGA relaxed
data_TaCrCd
_chemical_formula_sum 'Ta4 Cr4 Cd4'
_space_group_name_H-M_alt 'F -4 3 m'
_space_group_IT_number 216
_space_group_name_Hall 'F -4 2 3'
_cell_length_a 6.3552
_cell_length_b 6.3552
_cell_length_c 6.3552
_cell_angle_alpha 90.00
_cell_angle_beta 90.00
_cell_angle_gamma 90.00
loop_
_atom_site_label
_atom_site_type_symbol
_atom_site_fract_x
_atom_site_fract_y
_atom_site_fract_z
Ta1 Ta 0.0000 0.0000 0.0000
Cr1 Cr 0.2500 0.2500 0.2500
Cd1 Cd 0.2500 0.2500 0.7500
# - DOS(E_F): 22.89 states/eV/cell
# - ρ: 8937 kg/m³



Which structure is the most stable? The one labeled arrangement i.